Record 1
CsHfH3 after structural relaxation. Source: Alexandria via LeMat-Bulk, functional PBE-GGA.

Summary:
The calculated total energy comes out at -20.87 eV per cell. The value obtained for the energy relative to the lowest polymorph listed for this composition is 0.086 eV per atom. As for the symmetry: Amm2. As for the crystal system: orthorhombic.

```
CsHfH3
1.0
3.651 0.000 0.000
0.000 1.652 6.750
0.000 -1.652 6.750
Cs Hf H
1 1 3
Cartesian
0.000 0.000 0.000
1.825 0.000 3.465
0.000 0.000 4.232
1.825 0.000 8.894
1.825 0.000 11.349
```

---

Record 2
CsHfH3 after structural relaxation. Source: Alexandria via LeMat-Bulk, functional PBE-GGA.

Summary:
The calculated total energy comes out at -12.40 eV per cell. The value obtained for the energy relative to the lowest polymorph listed for this composition is 1.780 eV per atom. As for the symmetry: Pm-3m. As for the crystal system: cubic.

```
CsHfH3
1.0
4.753 0.000 0.000
0.000 4.753 0.000
0.000 0.000 4.753
Cs Hf H
1 1 3
Cartesian
0.000 0.000 0.000
2.377 2.377 2.377
0.000 0.000 2.377
0.000 2.377 0.000
2.377 0.000 0.000
```